The following is a GGA-PBE calculation of crystalline Cd3In3PdRh2 at its relaxed geometry, from Alexandria via LeMat-Bulk.

Cell and atoms, written as CIF:
```
data_Cd3In3PdRh2
_chemical_formula_sum 'Cd3 In3 Pd1 Rh2'
_cell_length_a 7.8626
_cell_length_b 7.8626
_cell_length_c 3.2048
_cell_angle_alpha 90.00
_cell_angle_beta 90.00
_cell_angle_gamma 120.00
_symmetry_space_group_name_H-M 'P -6 2 m'
_symmetry_Int_Tables_number 189
_symmetry_space_group_name_Hall 'P -6 -2'
loop_
_atom_site_label
_atom_site_type_symbol
_atom_site_fract_x
_atom_site_fract_y
_atom_site_fract_z
Cd1 Cd 0.0000 0.7155 0.0000
In1 In 0.0000 0.3879 0.5000
Pd1 Pd 0.0000 0.0000 0.5000
Rh1 Rh 0.3333 0.6667 0.0000
```

Formation enthalpy at 0 K: -1.79 eV per formula unit
Density of states at the Fermi level: 3.7 states/eV per cell

***

The following is a GGA-PBE calculation of crystalline Sr2TiTcNi at its relaxed geometry, from Alexandria via LeMat-Bulk.

Cell and atoms, written as CIF:
```
data_Sr2TiTcNi
_chemical_formula_sum 'Sr2 Ti1 Tc1 Ni1'
_cell_length_a 5.608
_cell_length_b 5.608
_cell_length_c 4.619
_cell_angle_alpha 90.00
_cell_angle_beta 90.00
_cell_angle_gamma 90.00
_symmetry_space_group_name_H-M 'P 4/m m m'
_symmetry_Int_Tables_number 123
_symmetry_space_group_name_Hall '-P 4 2'
loop_
_atom_site_label
_atom_site_type_symbol
_atom_site_fract_x
_atom_site_fract_y
_atom_site_fract_z
Sr1 Sr 0.000 0.500 0.000
Ti1 Ti 0.000 0.000 0.500
Tc1 Tc 0.500 0.500 0.500
Ni1 Ni 0.000 0.000 0.000
```

Formation enthalpy at 0 K: 4.77 eV per formula unit
Density of states at the Fermi level: 6.2 states/eV per cell

***

The following is a GGA-PBE calculation of crystalline AcSmMgSi at its relaxed geometry, from Alexandria via LeMat-Bulk.

Cell and atoms, written as CIF:
```
data_AcSmMgSi
_chemical_formula_sum 'Ac4 Sm4 Mg4 Si4'
_cell_length_a 7.630
_cell_length_b 7.630
_cell_length_c 7.630
_cell_angle_alpha 90.00
_cell_angle_beta 90.00
_cell_angle_gamma 90.00
_symmetry_space_group_name_H-M 'F -4 3 m'
_symmetry_Int_Tables_number 216
_symmetry_space_group_name_Hall 'F -4 2 3'
loop_
_atom_site_label
_atom_site_type_symbol
_atom_site_fract_x
_atom_site_fract_y
_atom_site_fract_z
Ac1 Ac 0.000 0.000 0.000
Sm1 Sm 0.000 0.000 0.500
Mg1 Mg 0.250 0.250 0.250
Si1 Si 0.250 0.250 0.750
```

Raw formation energy: -0.1915 eV per atom
Density of states at the Fermi level: 14.7 states/eV per cell

***

The following is a GGA-PBE calculation of crystalline HfS2F at its relaxed geometry, from Alexandria via LeMat-Bulk.

Cell and atoms, written as CIF:
```
data_HfS2F
_chemical_formula_sum 'Hf3 S6 F3'
_cell_length_a 3.5911
_cell_length_b 3.5911
_cell_length_c 21.1569
_cell_angle_alpha 90.00
_cell_angle_beta 90.00
_cell_angle_gamma 120.00
_symmetry_space_group_name_H-M 'R -3 m'
_symmetry_Int_Tables_number 166
_symmetry_space_group_name_Hall '-R 3 2"'
loop_
_atom_site_label
_atom_site_type_symbol
_atom_site_fract_x
_atom_site_fract_y
_atom_site_fract_z
Hf1 Hf 0.0000 0.0000 0.0000
S1 S 0.0000 0.0000 0.4016
F1 F 0.0000 0.0000 0.5000
```

Raw formation energy: -1.2919 eV per atom
Density of states at the Fermi level: 5.6 states/eV per cell

***

The following is a GGA-PBE calculation of crystalline ZrMn2Os at its relaxed geometry, from Alexandria via LeMat-Bulk.

Cell and atoms, written as CIF:
```
data_ZrMn2Os
_chemical_formula_sum 'Zr2 Mn4 Os2'
_cell_length_a 3.881
_cell_length_b 3.881
_cell_length_c 8.106
_cell_angle_alpha 90.00
_cell_angle_beta 90.00
_cell_angle_gamma 90.00
_symmetry_space_group_name_H-M 'I 4/m m m'
_symmetry_Int_Tables_number 139
_symmetry_space_group_name_Hall '-I 4 2'
loop_
_atom_site_label
_atom_site_type_symbol
_atom_site_fract_x
_atom_site_fract_y
_atom_site_fract_z
Zr1 Zr 0.000 0.000 0.000
Mn1 Mn 0.000 0.500 0.250
Os1 Os 0.000 0.000 0.500
```

Formation enthalpy at 0 K: 0.50 eV per formula unit
Density of states at the Fermi level: 10.3 states/eV per cell

***

The following is a GGA-PBE calculation of crystalline Ac2Cd2AgGe4 at its relaxed geometry, from Alexandria via LeMat-Bulk.

Cell and atoms, written as CIF:
```
data_Ac2Cd2AgGe4
_chemical_formula_sum 'Ac4 Cd4 Ag2 Ge8'
_cell_length_a 6.887
_cell_length_b 6.887
_cell_length_c 9.356
_cell_angle_alpha 90.00
_cell_angle_beta 90.00
_cell_angle_gamma 90.00
_symmetry_space_group_name_H-M 'I 4/m m m'
_symmetry_Int_Tables_number 139
_symmetry_space_group_name_Hall '-I 4 2'
loop_
_atom_site_label
_atom_site_type_symbol
_atom_site_fract_x
_atom_site_fract_y
_atom_site_fract_z
Ac1 Ac 0.000 0.500 0.250
Cd1 Cd 0.000 0.000 0.205
Ag1 Ag 0.000 0.000 0.500
Ge1 Ge 0.219 0.219 0.000
```

Formation enthalpy at 0 K: -2.97 eV per formula unit
Density of states at the Fermi level: 6.8 states/eV per cell

***

The following is a GGA-PBE calculation of crystalline HoTh2Fe at its relaxed geometry, from Alexandria via LeMat-Bulk.

Cell and atoms, written as CIF:
```
data_HoTh2Fe
_chemical_formula_sum 'Ho4 Th8 Fe4'
_cell_length_a 6.981
_cell_length_b 9.748
_cell_length_c 6.194
_cell_angle_alpha 90.00
_cell_angle_beta 90.00
_cell_angle_gamma 90.00
_symmetry_space_group_name_H-M 'P n m a'
_symmetry_Int_Tables_number 62
loop_
_symmetry_equiv_pos_as_xyz
'x,y,z'
'-x,-y,-z'
'-x+1/2,-y,z+1/2'
'x+1/2,y,-z+1/2'
'x+1/2,-y+1/2,-z+1/2'
'-x+1/2,y+1/2,z+1/2'
'-x,y+1/2,-z'
'x,-y+1/2,z'
loop_
_atom_site_label
_atom_site_type_symbol
_atom_site_fract_x
_atom_site_fract_y
_atom_site_fract_z
Ho1 Ho 0.048 0.250 0.152
Th1 Th 0.168 0.069 0.674
Fe1 Fe 0.103 0.750 0.387
```

Formation enthalpy at 0 K: -0.25 eV per formula unit
Density of states at the Fermi level: 19.8 states/eV per cell

***

The following is a GGA-PBE calculation of crystalline La2PrNd3Dy6 at its relaxed geometry, from Alexandria via LeMat-Bulk.

Cell and atoms, written as CIF:
```
data_La2PrNd3Dy6
_chemical_formula_sum 'La4 Pr2 Nd6 Dy12'
_cell_length_a 6.304
_cell_length_b 10.919
_cell_length_c 11.887
_cell_angle_alpha 90.00
_cell_angle_beta 100.16
_cell_angle_gamma 90.00
_symmetry_space_group_name_H-M 'C 1 2/m 1'
_symmetry_Int_Tables_number 12
loop_
_symmetry_equiv_pos_as_xyz
'x,y,z'
'-x,-y,-z'
'-x,y,-z'
'x,-y,z'
'x+1/2,y+1/2,z'
'-x+1/2,-y+1/2,-z'
'-x+1/2,y+1/2,-z'
'x+1/2,-y+1/2,z'
loop_
_atom_site_label
_atom_site_type_symbol
_atom_site_fract_x
_atom_site_fract_y
_atom_site_fract_z
La1 La 0.000 0.167 0.000
Pr1 Pr 0.000 0.500 0.000
Nd1 Nd 0.000 0.000 0.500
Nd2 Nd 0.000 0.334 0.500
Dy1 Dy 0.249 0.500 0.748
Dy2 Dy 0.250 0.166 0.748
```

Formation enthalpy at 0 K: 0.14 eV per formula unit
Density of states at the Fermi level: 27.8 states/eV per cell

***

The following is a GGA-PBE calculation of crystalline Rb2PdBrF6 at its relaxed geometry, from Alexandria via LeMat-Bulk.

Cell and atoms, written as CIF:
```
data_Rb2PdBrF6
_chemical_formula_sum 'Rb4 Pd2 Br2 F12'
_cell_length_a 6.353
_cell_length_b 6.353
_cell_length_c 9.852
_cell_angle_alpha 90.00
_cell_angle_beta 90.00
_cell_angle_gamma 90.00
_symmetry_space_group_name_H-M 'I 4/m m m'
_symmetry_Int_Tables_number 139
_symmetry_space_group_name_Hall '-I 4 2'
loop_
_atom_site_label
_atom_site_type_symbol
_atom_site_fract_x
_atom_site_fract_y
_atom_site_fract_z
Rb1 Rb 0.000 0.500 0.250
Pd1 Pd 0.000 0.000 0.000
Br1 Br 0.000 0.000 0.500
F1 F 0.000 0.000 0.200
F2 F 0.223 0.223 0.000
```

Raw formation energy: -1.7314 eV per atom
Density of states at the Fermi level: 11.9 states/eV per cell

***

The following is a GGA-PBE calculation of crystalline Na2Hf2MnS6 at its relaxed geometry, from Alexandria via LeMat-Bulk.

Cell and atoms, written as CIF:
```
data_Na2Hf2MnS6
_chemical_formula_sum 'Na4 Hf4 Mn2 S12'
_cell_length_a 6.141
_cell_length_b 10.598
_cell_length_c 7.223
_cell_angle_alpha 90.00
_cell_angle_beta 107.10
_cell_angle_gamma 90.00
_symmetry_space_group_name_H-M 'C 1 2/m 1'
_symmetry_Int_Tables_number 12
loop_
_symmetry_equiv_pos_as_xyz
'x,y,z'
'-x,-y,-z'
'-x,y,-z'
'x,-y,z'
'x+1/2,y+1/2,z'
'-x+1/2,-y+1/2,-z'
'-x+1/2,y+1/2,-z'
'x+1/2,-y+1/2,z'
loop_
_atom_site_label
_atom_site_type_symbol
_atom_site_fract_x
_atom_site_fract_y
_atom_site_fract_z
Na1 Na 0.000 0.171 0.000
Hf1 Hf 0.000 0.333 0.500
Mn1 Mn 0.000 0.000 0.500
S1 S 0.231 0.157 0.709
S2 S 0.242 0.000 0.292
```

Raw formation energy: -1.2615 eV per atom
Density of states at the Fermi level: 11.3 states/eV per cell